5
Lattice="4.260 0.000 0.000 0.000 4.260 0.000 0.000 0.000 4.036" Properties=species:S:1:pos:R:3 comment="ZrVN2F (PBE+U, relaxed)" final_energy_ev_per_atom=-7.15 space_group="P4/mmm, No. 123" magmom_total_mub_per_fu=0.107 pbc="T T T"
Zr 0.000 0.000 0.000
V 2.130 2.130 2.018
N 0.000 2.130 0.000
N 2.130 0.000 0.000
F 0.000 0.000 2.018